28
Lattice="0.000 6.235 6.235 6.235 0.000 6.235 6.235 6.235 0.000" Properties=species:S:1:pos:R:3 comment="PBE-GGA SmGa3Pd10, relaxed" spacegroup="No. 225" m_tot_mub_per_atom=0.000 formation_energy_ev_per_atom=-0.530 pbc="T T T"
Sm 3.118 3.118 3.118
Sm 9.353 9.353 9.353
Ga 6.235 6.235 2.865
Ga 6.235 2.865 6.235
Ga 9.606 6.235 6.235
Ga 2.865 6.235 6.235
Ga 6.235 9.606 6.235
Ga 6.235 6.235 9.606
Pd 1.491 1.491 1.491
Pd 4.745 4.745 1.491
Pd 4.745 1.491 4.745
Pd 6.235 4.086 4.086
Pd 8.385 6.235 4.086
Pd 8.385 4.086 6.235
Pd 10.980 7.726 7.726
Pd 4.086 6.235 4.086
Pd 6.235 8.385 4.086
Pd 4.086 4.086 6.235
Pd 8.385 8.385 6.235
Pd 6.235 4.086 8.385
Pd 8.385 6.235 8.385
Pd 1.491 4.745 4.745
Pd 4.086 8.385 6.235
Pd 4.086 6.235 8.385
Pd 6.235 8.385 8.385
Pd 7.726 10.980 7.726
Pd 7.726 7.726 10.980
Pd 10.980 10.980 10.980